Compound: Mg16Al12V
Source: Alexandria
Functional: PBE
Structure: relaxed

Calculated values
V ... 19.8 A^3/atom
DOS(E_F) ... 16.10 states/eV per cell
Crystal system ... cubic
E ... -2.736 eV/atom
Symmetry ... I-43m (217)

a b c (Å): 9.064 9.064 9.064
angles (deg): 109.47 109.47 109.47
Fractional coordinates of all 29 atoms:
Mg 0.399 0.000 0.685
Al 0.636 0.821 0.636
Mg 0.339 0.339 0.339
Mg 0.286 0.601 0.601
Mg 0.399 0.685 0.000
Al 0.000 0.184 0.364
Al 0.821 0.636 0.636
Mg 0.685 0.000 0.399
Mg 0.000 0.399 0.685
Al 0.184 0.364 0.000
V 0.000 0.000 0.000
Al 0.816 0.179 0.816
Mg 0.601 0.286 0.601
Mg 0.000 0.685 0.399
Mg 0.315 0.315 0.714
Mg 0.601 0.601 0.286
Al 0.636 0.636 0.821
Al 0.364 0.184 0.000
Mg 0.714 0.315 0.315
Al 0.364 0.000 0.184
Mg 0.000 0.661 0.000
Mg 0.315 0.714 0.315
Al 0.184 0.000 0.364
Al 0.179 0.816 0.816
Mg 0.661 0.000 0.000
Mg 0.000 0.000 0.661
Al 0.000 0.364 0.184
Al 0.816 0.816 0.179
Mg 0.685 0.399 0.000

Compound: LiTl2W
Source: Alexandria
Functional: PBE
Structure: relaxed

Calculated values
V ... 20.3 A^3/atom
DOS(E_F) ... 2.61 states/eV per cell
Crystal system ... cubic
E ... -4.165 eV/atom
Symmetry ... Fm-3m (225)

a b c (Å): 4.863 4.863 4.863
angles (deg): 60.00 60.00 60.00
Fractional coordinates of all 4 atoms:
Li 0.000 0.000 0.000
W 0.500 0.500 0.500
Tl 0.750 0.750 0.750
Tl 0.250 0.250 0.250

Compound: KBa2SiB
Source: Alexandria
Functional: PBE
Structure: relaxed

Calculated values
V ... 32.7 A^3/atom
DOS(E_F) ... 5.74 states/eV per cell
Uncorrected formation energy ... 343 meV per atom
Crystal system ... tetragonal
Symmetry ... P4/mmm (123)

a b c (Å): 6.372 4.033 6.372
angles (deg): 90.00 90.00 90.00
Fractional coordinates of all 5 atoms:
K 0.500 0.500 0.500
B 0.000 0.000 0.000
Ba 0.500 0.000 0.000
Ba 0.000 0.000 0.500
Si 0.000 0.500 0.000

Compound: SiMoRu4
Source: Alexandria
Functional: PBE
Structure: relaxed

Calculated values
V ... 15.0 A^3/atom
DOS(E_F) ... 8.35 states/eV per cell
Uncorrected formation energy ... 489 meV per atom
Crystal system ... cubic
Symmetry ... F-43m (216)

a b c (Å): 5.034 5.034 5.034
angles (deg): 60.00 60.00 60.00
Fractional coordinates of all 6 atoms:
Ru 0.375 0.375 0.375
Ru 0.375 0.874 0.375
Ru 0.874 0.375 0.375
Mo 0.000 0.000 0.000
Ru 0.375 0.375 0.874
Si 0.750 0.750 0.750

Compound: NaSr2Ag3Bi4
Source: Alexandria
Functional: PBE
Structure: relaxed

Calculated values
V ... 30.0 A^3/atom
DOS(E_F) ... 5.07 states/eV per cell
Crystal system ... tetragonal
E ... -3.255 eV/atom
Symmetry ... P-4m2 (115)

a b c (Å): 4.813 4.813 12.962
angles (deg): 90.00 90.00 90.00
Fractional coordinates of all 10 atoms:
Bi 0.500 0.000 0.645
Ag 0.000 0.500 0.140
Ag 0.000 0.000 0.500
Bi 0.000 0.500 0.355
Ag 0.500 0.000 0.860
Na 0.500 0.500 0.500
Bi 0.500 0.500 0.000
Bi 0.000 0.000 0.000
Sr 0.500 0.000 0.250
Sr 0.000 0.500 0.750

Compound: Tc3PtW
Source: Alexandria
Functional: PBE
Structure: relaxed

Calculated values
V ... 19.9 A^3/atom
DOS(E_F) ... 7.63 states/eV per cell
Crystal system ... cubic
E ... -8.205 eV/atom
Symmetry ... Pm-3m (221)

a b c (Å): 4.637 4.637 4.637
angles (deg): 90.00 90.00 90.00
Fractional coordinates of all 5 atoms:
Tc 0.500 0.000 0.000
Pt 0.500 0.500 0.500
W 0.000 0.000 0.000
Tc 0.000 0.500 0.000
Tc 0.000 0.000 0.500

Compound: B2S3
Source: Alexandria
Functional: PBE
Structure: relaxed

Calculated values
V ... 22.4 A^3/atom
DOS(E_F) ... 0.00 states/eV per cell
Uncorrected formation energy ... -335 meV per atom
Crystal system ... trigonal
Symmetry ... R-3c (167)

a b c (Å): 9.206 9.206 9.206
angles (deg): 34.52 34.52 34.52
Fractional coordinates of all 10 atoms:
S 0.082 0.750 0.418
S 0.418 0.082 0.750
S 0.250 0.582 0.918
B 0.583 0.583 0.583
B 0.083 0.083 0.083
B 0.417 0.417 0.417
S 0.750 0.418 0.082
S 0.582 0.918 0.250
B 0.917 0.917 0.917
S 0.918 0.250 0.582

Compound: Dy8Pt2Rh
Source: Alexandria
Functional: PBE
Structure: relaxed

Calculated values
V ... 25.8 A^3/atom
DOS(E_F) ... 12.04 states/eV per cell
Crystal system ... monoclinic
E ... -5.764 eV/atom
Symmetry ... C2/m (12)

a b c (Å): 4.987 6.770 9.000
angles (deg): 103.43 106.08 90.00
Fractional coordinates of all 11 atoms:
Pt 0.192 0.726 0.383
Dy 0.033 0.786 0.065
Dy 0.795 0.680 0.590
Dy 0.410 0.553 0.820
Rh 0.500 0.000 0.000
Dy 0.967 0.214 0.935
Dy 0.665 0.971 0.329
Dy 0.590 0.447 0.180
Dy 0.335 0.029 0.671
Pt 0.808 0.274 0.617
Dy 0.205 0.320 0.410

Compound: Al2ZnPb
Source: Alexandria
Functional: PBE
Structure: relaxed

Calculated values
V ... 21.3 A^3/atom
DOS(E_F) ... 1.43 states/eV per cell
Crystal system ... monoclinic
E ... -2.939 eV/atom
Symmetry ... C2/m (12)

a b c (Å): 4.469 4.469 6.390
angles (deg): 81.13 81.13 42.62
Fractional coordinates of all 4 atoms:
Al 0.512 0.512 0.434
Pb 0.750 0.750 0.750
Zn 0.250 0.250 0.250
Al 0.988 0.988 0.066

Compound: Rb2CrWCl6
Source: Alexandria
Functional: PBE
Structure: relaxed

Calculated values
V ... 26.6 A^3/atom
DOS(E_F) ... 0.00 states/eV per cell
Uncorrected formation energy ... -973 meV per atom
Crystal system ... tetragonal
Symmetry ... I4/mmm (139)

a b c (Å): 7.653 7.653 7.068
angles (deg): 57.22 57.22 90.00
Fractional coordinates of all 10 atoms:
Cr 0.500 0.500 0.000
Cl 0.229 0.229 0.000
W 0.000 0.000 0.000
Cl 0.744 0.744 0.513
Cl 0.771 0.771 0.000
Rb 0.750 0.250 0.500
Cl 0.771 0.229 0.000
Rb 0.250 0.750 0.500
Cl 0.256 0.256 0.487
Cl 0.229 0.771 0.000

Compound: LiTa2ZnI
Source: Alexandria
Functional: PBE
Structure: relaxed

Calculated values
V ... 26.5 A^3/atom
DOS(E_F) ... 5.09 states/eV per cell
Uncorrected formation energy ... 1549 meV per atom
Crystal system ... tetragonal
Symmetry ... P4/mmm (123)

a b c (Å): 4.807 5.736 4.807
angles (deg): 90.00 90.00 90.00
Fractional coordinates of all 5 atoms:
Ta 0.000 0.000 0.500
Li 0.500 0.500 0.500
Ta 0.500 0.000 0.000
I 0.000 0.500 0.000
Zn 0.000 0.000 0.000

Compound: UBe5Fe7
Source: Alexandria
Functional: PBE
Structure: relaxed

Calculated values
V ... 10.5 A^3/atom
DOS(E_F) ... 10.56 states/eV per cell
Crystal system ... orthorhombic
E ... -7.015 eV/atom
Symmetry ... Imm2 (44)

a b c (Å): 4.408 6.000 6.000
angles (deg): 79.09 68.45 68.45
Fractional coordinates of all 13 atoms:
Fe 0.998 0.656 0.347
Fe 0.366 0.634 0.634
Fe 0.502 0.807 0.190
Be 0.498 0.507 0.995
U 0.994 0.006 0.006
Fe 0.641 0.359 0.359
Fe 0.502 0.190 0.807
Be 0.000 0.995 0.507
Be 0.000 0.507 0.995
Fe 0.998 0.347 0.656
Be 0.498 0.995 0.507
Fe 0.261 0.239 0.239
Be 0.742 0.758 0.758